VASP calculation (PBE) on a relaxed Ho4AlRu crystal.

Properties
Symmetry = No. 15
Formation enthalpy at 0 K = -0.320 eV/atom
Total energy = -5.5417 eV per atom
DOS at the Fermi energy = 5.69 states/eV/f.u.
Size of the total moment = 0.000 μB/cell
Energy above the most stable polymorph in this dataset = 5.5 kJ per mole of atoms
Calculated volume = 26.3 Å³ per atom

Structure (CIF):
```
data_Ho4AlRu
_cell_length_a 6.093
_cell_length_b 8.861
_cell_length_c 7.662
_cell_angle_alpha 114.87
_cell_angle_beta 99.68
_cell_angle_gamma 113.37
_symmetry_space_group_name_H-M 'P 1'
_symmetry_Int_Tables_number 1
_symmetry_space_group_name_Hall 'P 1'
loop_
_atom_site_label
_atom_site_fract_x
_atom_site_fract_y
_atom_site_fract_z
Ho1 0.106 0.211 0.846
Ho2 0.768 0.721 0.659
Ho3 0.240 0.636 0.846
Ho4 0.391 0.937 0.659
Ho5 0.609 0.063 0.341
Ho6 0.760 0.364 0.154
Ho7 0.232 0.279 0.341
Ho8 0.894 0.789 0.154
Al1 0.374 0.624 0.248
Al2 0.626 0.376 0.752
Ru1 0.249 0.999 0.998
Ru2 0.751 0.001 0.002
```